The following is a DFT calculation (PBE with a Hubbard U) of FeTe2O5 after structural relaxation.

Cell lengths 6.1622, 7.3672, 11.0053 Å; angles 90.00, 90.00, 90.00 degrees
Last column: magnetic moment on the atom in μB.
Atoms (fractional coordinates):
O 0.1854 0.1933 0.2072  0.02
O 0.2500 0.0000 0.4372  0.01
O 0.3146 0.8067 0.2072  0.02
O 0.5550 0.3559 0.5692  0.03
O 0.1854 0.3067 0.7072  0.02
O 0.0550 0.3559 0.4308  0.03
O 0.8146 0.8067 0.7928  0.02
O 0.7500 0.5000 0.0628  0.01
O 0.7500 0.0000 0.5628  0.01
O 0.5550 0.1441 0.0693  0.03
O 0.0550 0.1441 0.9308  0.03
O 0.9450 0.8559 0.0693  0.03
O 0.4450 0.6441 0.4308  0.03
O 0.3146 0.6933 0.7072  0.02
O 0.6854 0.3067 0.2928  0.02
O 0.2500 0.5000 0.9372  0.01
O 0.6854 0.1933 0.7928  0.02
O 0.9450 0.6441 0.5692  0.03
O 0.8146 0.6933 0.2928  0.02
O 0.4450 0.8559 0.9308  0.03
Fe 0.7500 0.5000 0.4416  3.77
Fe 0.2500 0.5000 0.5584  3.77
Fe 0.2500 0.0000 0.0584  3.77
Fe 0.7500 0.0000 0.9416  3.77
Te 0.5149 0.3637 0.1543  0.01
Te 0.5149 0.1363 0.6543  0.01
Te 0.9851 0.8637 0.6543  0.01
Te 0.0149 0.3637 0.8457  0.01
Te 0.0149 0.1363 0.3457  0.01
Te 0.9851 0.6363 0.1543  0.01
Te 0.4851 0.8637 0.3457  0.01
Te 0.4851 0.6363 0.8457  0.01

Summary:
N(E_F): 0.000 states/eV/f.u.
total energy: -183.99 eV per cell
symmetry: Pbcn
crystal system: orthorhombic
total moment: 0.500 μB per atom